Below is Sr2AlCuF at its PBEsol-relaxed geometry, with properties calculated at the meta-GGA SCAN level.

Unit cell a=3.835 b=5.988 c=5.988 alpha=90.00 beta=90.00 gamma=90.00
Fractional positions:
Al 0.500 0.500 0.500
Sr 0.000 0.500 0.000
Sr 0.000 0.000 0.500
Cu 0.000 0.000 0.000
F 0.500 0.000 0.000

Calculated values
- DFT total energy: -72.883 eV for the cell shown
- Magnetization: 0.089 μB/atom
- D(E_F): 4.5 states/eV/f.u.
- Density: 3.439 g cm⁻³
- Raw formation energy: -368 meV per atom

---

Below is Al2FeCu at its PBEsol-relaxed geometry, with properties calculated at the meta-GGA SCAN level.

Unit cell a=2.725 b=3.639 c=5.131 alpha=90.00 beta=90.00 gamma=90.00
Each line ends with the local moment (μB).
Fractional positions:
Fe 0.500 0.500 0.767  2.35
Al 0.500 0.500 0.274  -0.01
Al 0.000 0.000 0.969  -0.03
Cu 0.000 0.000 0.490  0.01

Calculated values
- DFT total energy: -49.598 eV for the cell shown
- Magnetization: 0.553 μB/atom
- D(E_F): 2.0 states/eV/f.u.
- Formation enthalpy at 0 K: -0.1913 eV per atom
- Density: 5.657 g cm⁻³

---

Below is Al37Fe12Cu2 at its PBEsol-relaxed geometry, with properties calculated at the meta-GGA SCAN level.

Unit cell a=7.793 b=8.649 c=12.351 alpha=106.07 beta=90.00 gamma=116.78
Fractional positions:
Al 0.159 0.733 0.109
Al 0.251 0.000 0.002
Al 0.075 0.150 0.587
Al 0.767 0.535 0.457
Al 0.709 0.978 0.335
Al 0.576 0.737 0.479
Al 0.030 0.638 0.663
Al 0.280 0.021 0.670
Al 0.233 0.466 0.543
Al 0.396 0.359 0.338
Al 0.674 0.348 0.723
Al 0.838 0.264 0.524
Al 0.916 0.832 0.215
Al 0.749 0.000 0.002
Al 0.162 0.737 0.479
Al 0.027 0.630 0.887
Al 0.760 0.520 0.043
Al 0.321 0.643 0.281
Al 0.608 0.638 0.663
Al 0.740 0.021 0.670
Al 0.963 0.359 0.338
Al 0.269 0.978 0.335
Al 0.943 0.885 0.827
Al 0.406 0.256 0.887
Al 0.310 0.620 0.771
Al 0.426 0.264 0.524
Al 0.400 0.374 0.111
Al 0.573 0.733 0.109
Al 0.233 0.465 0.937
Al 0.603 0.630 0.887
Al 0.849 0.256 0.887
Al 0.693 0.387 0.226
Al 0.930 0.859 0.422
Al 0.481 0.961 0.832
Al 0.522 0.043 0.169
Al 0.065 0.131 0.175
Al 0.974 0.374 0.111
Fe 0.398 0.796 0.631
Fe 0.910 0.820 0.012
Fe 0.024 0.639 0.278
Fe 0.616 0.639 0.278
Fe 0.980 0.369 0.722
Fe 0.390 0.369 0.722
Fe 0.091 0.182 0.995
Fe 0.402 0.804 0.985
Fe 0.604 0.207 0.370
Fe 0.912 0.825 0.612
Fe 0.598 0.196 0.014
Fe 0.083 0.167 0.383
Cu 0.501 0.002 0.503
Cu 0.080 0.160 0.783

Calculated values
- DFT total energy: -549.585 eV for the cell shown
- Magnetization: 0.000 μB/atom
- D(E_F): 20.5 states/eV/f.u.
- Formation enthalpy at 0 K: -0.2905 eV per atom
- Density: 4.220 g cm⁻³